DFT (PBE+U) results for AlFeSe2F after structural relaxation.

CIF file:
```
data_AlFeSe2F
_space_group_name_H-M_alt 'P 4/m m m'
_space_group_IT_number 123
_space_group_name_Hall '-P 4 2'
_cell_length_a 5.4082
_cell_length_b 5.4082
_cell_length_c 3.4026
_cell_angle_alpha 90.00
_cell_angle_beta 90.00
_cell_angle_gamma 90.00
loop_
_atom_site_label
_atom_site_fract_x
_atom_site_fract_y
_atom_site_fract_z
Al1 0.0000 0.0000 0.0000
Fe1 0.5000 0.5000 0.0000
Se1 0.0000 0.5000 0.5000
F1 0.0000 0.0000 0.5000
```

N(E_F) = 1.52 states/eV/f.u.
volume = 19.9 Å³ per atom
total energy = -3.804 eV/atom